This record from Alexandria describes crystalline ScFeHg2 at its relaxed geometry. The functional is PBE-GGA.

Computed properties:
SG: Pm (6)
Total magnetic moment, μB per cell: 1.7
Energy relative to the elements, kJ/mol of atoms: 7.0

Unit cell a=3.357 b=3.928 c=6.343 alpha=90.00 beta=105.26 gamma=90.00
Atoms (fractional coordinates):
Sc 0.000 0.000 0.000
Fe 0.577 0.500 0.155
Hg 0.358 0.500 0.714
Hg 0.721 0.000 0.445

=====

This record from Alexandria describes crystalline Li2CaAs at its relaxed geometry. The functional is PBE-GGA.

Computed properties:
SG: Pmmm (47)
Total magnetic moment, μB per cell: 0.0
Energy relative to the elements, kJ/mol of atoms: -34.1

Unit cell a=3.274 b=4.125 c=6.232 alpha=90.00 beta=90.00 gamma=90.00
Atoms (fractional coordinates):
Li 0.000 0.000 0.193
Li 0.000 0.000 0.807
Ca 0.500 0.500 0.500
As 0.500 0.500 0.000

=====

This record from Alexandria describes crystalline Nd2Be4ZnIr3 at its relaxed geometry. The functional is PBE-GGA.

Computed properties:
SG: P-4m2 (115)
Total magnetic moment, μB per cell: 0.0
Energy relative to the elements, kJ/mol of atoms: -45.7

Unit cell a=4.018 b=4.018 c=9.692 alpha=90.00 beta=90.00 gamma=90.00
Atoms (fractional coordinates):
Nd 0.000 0.500 0.245
Nd 0.500 0.000 0.755
Be 0.000 0.000 0.000
Be 0.000 0.500 0.629
Be 0.500 0.000 0.371
Be 0.500 0.500 0.000
Zn 0.000 0.000 0.500
Ir 0.000 0.500 0.878
Ir 0.500 0.000 0.122
Ir 0.500 0.500 0.500

=====

This record from Alexandria describes crystalline Pr2HoCo9 at its relaxed geometry. The functional is PBE-GGA.

Computed properties:
SG: R-3m (166)
Total magnetic moment, μB per cell: 10.3
Energy relative to the elements, kJ/mol of atoms: -6.3

Unit cell a=8.839 b=8.839 c=8.839 alpha=32.88 beta=32.88 gamma=32.88
Atoms (fractional coordinates):
Pr 0.139 0.139 0.139
Pr 0.861 0.861 0.861
Ho 0.000 0.000 0.000
Co 0.082 0.576 0.576
Co 0.333 0.333 0.333
Co 0.424 0.424 0.918
Co 0.424 0.918 0.424
Co 0.500 0.500 0.500
Co 0.576 0.082 0.576
Co 0.576 0.576 0.082
Co 0.667 0.667 0.667
Co 0.918 0.424 0.424

=====

This record from Alexandria describes crystalline Ca2HfW at its relaxed geometry. The functional is PBE-GGA.

Computed properties:
SG: Fm-3m (225)
E above lowest polymorph, eV per atom: 0.0000
Total magnetic moment, μB per cell: 1.5
Energy relative to the elements, kJ/mol of atoms: 113.7

Unit cell a=5.209 b=5.209 c=5.209 alpha=60.00 beta=60.00 gamma=60.00
Atoms (fractional coordinates):
Ca 0.250 0.250 0.250
Ca 0.750 0.750 0.750
Hf 0.000 0.000 0.000
W 0.500 0.500 0.500

=====

This record from Alexandria describes crystalline YSc2Se at its relaxed geometry. The functional is PBE-GGA.

Computed properties:
SG: I-42d (122)
Uncorrected formation energy, meV/atom: -508
Total magnetic moment, μB per cell: 0.0

Unit cell a=6.625 b=6.625 c=6.625 alpha=101.25 beta=101.25 gamma=127.58
Atoms (fractional coordinates):
Y 0.000 0.000 0.000
Y 0.750 0.250 0.500
Sc 0.199 0.625 0.074
Sc 0.375 0.449 0.574
Sc 0.551 0.125 0.926
Sc 0.875 0.801 0.426
Se 0.250 0.750 0.500
Se 0.500 0.500 0.000

=====

This record from Alexandria describes crystalline FeSeI2N at its relaxed geometry. The functional is PBE-GGA.

Computed properties:
SG: P4/mmm (123)
E above lowest polymorph, eV per atom: 0.0000
Uncorrected formation energy, meV/atom: 574
Total magnetic moment, μB per cell: 0.0

Unit cell a=5.427 b=5.427 c=3.501 alpha=90.00 beta=90.00 gamma=90.00
Atoms (fractional coordinates):
Fe 0.000 0.000 0.000
Se 0.500 0.500 0.500
I 0.000 0.500 0.000
I 0.500 0.000 0.000
N 0.000 0.000 0.500

=====

This record from Alexandria describes crystalline UPdAu2 at its relaxed geometry. The functional is PBE-GGA.

Computed properties:
SG: Fm-3m (225)
E above lowest polymorph, eV per atom: 0.0516
Total magnetic moment, μB per cell: 2.2
Energy relative to the elements, kJ/mol of atoms: -18.6

Unit cell a=4.845 b=4.845 c=4.845 alpha=60.00 beta=60.00 gamma=60.00
Atoms (fractional coordinates):
U 0.000 0.000 0.000
Pd 0.500 0.500 0.500
Au 0.250 0.250 0.250
Au 0.750 0.750 0.750

=====

This record from Alexandria describes crystalline LiSbAs at its relaxed geometry. The functional is PBE-GGA.

Computed properties:
SG: I4mm (107)
Uncorrected formation energy, meV/atom: -147
Total magnetic moment, μB per cell: 0.0

Unit cell a=5.495 b=5.495 c=5.495 alpha=139.23 beta=139.23 gamma=59.02
Atoms (fractional coordinates):
Li 0.000 0.000 0.000
Sb 0.308 0.308 0.000
As 0.705 0.705 0.000

=====

This record from Alexandria describes crystalline CaTaCo2 at its relaxed geometry. The functional is PBE-GGA.

Computed properties:
SG: C2/m (12)
E above lowest polymorph, eV per atom: 0.3138
Total magnetic moment, μB per cell: 0.6
Energy relative to the elements, kJ/mol of atoms: 29.1

Unit cell a=4.228 b=4.228 c=6.274 alpha=100.35 beta=100.35 gamma=42.24
Atoms (fractional coordinates):
Ca 0.000 0.000 0.000
Ta 0.500 0.500 0.500
Co 0.236 0.236 0.660
Co 0.764 0.764 0.340

=====

This record from Alexandria describes crystalline BaPmOsN4 at its relaxed geometry. The functional is PBE-GGA.

Computed properties:
SG: P2_1/m (11)
Uncorrected formation energy, meV/atom: -533
Total magnetic moment, μB per cell: 0.0

Unit cell a=6.112 b=5.963 c=7.422 alpha=90.00 beta=106.67 gamma=90.00
Atoms (fractional coordinates):
Ba 0.229 0.250 0.432
Ba 0.771 0.750 0.568
Pm 0.305 0.250 0.954
Pm 0.695 0.750 0.046
Os 0.235 0.750 0.167
Os 0.765 0.250 0.833
N 0.058 0.750 0.929
N 0.064 0.750 0.330
N 0.447 0.515 0.204
N 0.447 0.985 0.204
N 0.553 0.015 0.796
N 0.553 0.485 0.796
N 0.936 0.250 0.670
N 0.942 0.250 0.071

=====

This record from Alexandria describes crystalline KBa3Au7 at its relaxed geometry. The functional is PBE-GGA.

Computed properties:
SG: Cmcm (63)
Total magnetic moment, μB per cell: 0.0
Energy relative to the elements, kJ/mol of atoms: -54.5

Unit cell a=11.042 b=11.042 c=13.635 alpha=90.00 beta=90.00 gamma=155.89
Atoms (fractional coordinates):
K 0.026 0.974 0.750
K 0.974 0.026 0.250
Ba 0.117 0.883 0.044
Ba 0.117 0.883 0.456
Ba 0.231 0.769 0.750
Ba 0.769 0.231 0.250
Ba 0.883 0.117 0.544
Ba 0.883 0.117 0.956
Au 0.274 0.726 0.043
Au 0.274 0.726 0.457
Au 0.382 0.618 0.147
Au 0.382 0.618 0.353
Au 0.398 0.602 0.750
Au 0.490 0.510 0.599
Au 0.490 0.510 0.901
Au 0.510 0.490 0.099
Au 0.510 0.490 0.401
Au 0.602 0.398 0.250
Au 0.618 0.382 0.647
Au 0.618 0.382 0.853
Au 0.726 0.274 0.543
Au 0.726 0.274 0.957

=====

This record from Alexandria describes crystalline CsMgBi at its relaxed geometry. The functional is PBE-GGA.

Computed properties:
SG: P1 (1)
Total magnetic moment, μB per cell: 0.0
Energy relative to the elements, kJ/mol of atoms: -33.4

Unit cell a=5.002 b=7.683 c=8.646 alpha=104.94 beta=90.65 gamma=108.16
Atoms (fractional coordinates):
Cs 0.000 0.000 0.000
Cs 0.307 0.624 0.349
Mg 0.115 0.216 0.558
Mg 0.720 0.430 0.707
Bi 0.265 0.517 0.873
Bi 0.590 0.171 0.377

=====

This record from Alexandria describes crystalline CoOsAu at its relaxed geometry. The functional is PBE-GGA.

Computed properties:
SG: Imm2 (44)
E above lowest polymorph, eV per atom: 0.1509
Total magnetic moment, μB per cell: 1.3
Energy relative to the elements, kJ/mol of atoms: 47.7

Unit cell a=5.065 b=5.065 c=5.065 alpha=149.04 beta=138.66 gamma=52.53
Atoms (fractional coordinates):
Co 0.000 0.000 0.000
Os 0.620 0.620 0.000
Au 0.316 0.316 0.000

=====

This record from Alexandria describes crystalline Sr2MnCdH at its relaxed geometry. The functional is PBE-GGA.

Computed properties:
SG: P4/mmm (123)
Total magnetic moment, μB per cell: 4.0

Unit cell a=5.268 b=5.268 c=4.478 alpha=90.00 beta=90.00 gamma=90.00
Atoms (fractional coordinates):
Sr 0.000 0.500 0.000
Sr 0.500 0.000 0.000
Mn 0.000 0.000 0.500
Cd 0.500 0.500 0.500
H 0.500 0.500 0.000

=====

This record from Alexandria describes crystalline MgZr2NbPd at its relaxed geometry. The functional is PBE-GGA.

Computed properties:
SG: P4/mmm (123)
Total magnetic moment, μB per cell: 0.0
Energy relative to the elements, kJ/mol of atoms: 61.0

Unit cell a=5.082 b=5.082 c=4.930 alpha=90.00 beta=90.00 gamma=90.00
Atoms (fractional coordinates):
Mg 0.000 0.000 0.000
Zr 0.000 0.500 0.500
Zr 0.500 0.000 0.500
Nb 0.500 0.500 0.000
Pd 0.500 0.500 0.500

=====

This record from Alexandria describes crystalline Zr2CuNi2 at its relaxed geometry. The functional is PBE-GGA.

Computed properties:
SG: P4/mbm (127)
Total magnetic moment, μB per cell: 0.0
Energy relative to the elements, kJ/mol of atoms: -1.5

Unit cell a=7.398 b=7.398 c=3.094 alpha=90.00 beta=90.00 gamma=90.00
Atoms (fractional coordinates):
Zr 0.165 0.335 0.000
Zr 0.335 0.835 0.000
Zr 0.665 0.165 0.000
Zr 0.835 0.665 0.000
Cu 0.000 0.000 0.000
Cu 0.500 0.500 0.000
Ni 0.127 0.627 0.500
Ni 0.373 0.127 0.500
Ni 0.627 0.873 0.500
Ni 0.873 0.373 0.500

=====

This record from Alexandria describes crystalline CaPtSe2N at its relaxed geometry. The functional is PBE-GGA.

Computed properties:
SG: P4/mmm (123)
E above lowest polymorph, eV per atom: 0.0000
Uncorrected formation energy, meV/atom: -280
Total magnetic moment, μB per cell: 0.0

Unit cell a=5.315 b=5.315 c=3.727 alpha=90.00 beta=90.00 gamma=90.00
Atoms (fractional coordinates):
Ca 0.000 0.000 0.000
Pt 0.500 0.500 0.500
Se 0.000 0.500 0.500
Se 0.500 0.000 0.500
N 0.500 0.500 0.000

=====

This record from Alexandria describes crystalline PrEr3H at its relaxed geometry. The functional is PBE-GGA.

Computed properties:
SG: Pm-3m (221)
Total magnetic moment, μB per cell: 0.0

Unit cell a=4.998 b=4.998 c=4.998 alpha=90.00 beta=90.00 gamma=90.00
Atoms (fractional coordinates):
Pr 0.000 0.000 0.000
Er 0.000 0.500 0.500
Er 0.500 0.000 0.500
Er 0.500 0.500 0.000
H 0.500 0.500 0.500

=====

This record from Alexandria describes crystalline Tb5Th4Mg at its relaxed geometry. The functional is PBE-GGA.

Computed properties:
SG: P4/mmm (123)
Total magnetic moment, μB per cell: 0.0
Energy relative to the elements, kJ/mol of atoms: 1.7

Unit cell a=3.578 b=3.578 c=24.435 alpha=90.00 beta=90.00 gamma=90.00
Atoms (fractional coordinates):
Tb 0.000 0.000 0.000
Tb 0.000 0.000 0.207
Tb 0.000 0.000 0.409
Tb 0.000 0.000 0.591
Tb 0.000 0.000 0.793
Th 0.500 0.500 0.103
Th 0.500 0.500 0.310
Th 0.500 0.500 0.690
Th 0.500 0.500 0.897
Mg 0.500 0.500 0.500

=====

This record from Alexandria describes crystalline PuTlSe2 at its relaxed geometry. The functional is PBE-GGA.

Computed properties:
SG: P4/mmm (123)
Uncorrected formation energy, meV/atom: -982
Total magnetic moment, μB per cell: 5.0

Unit cell a=3.650 b=3.650 c=7.797 alpha=90.00 beta=90.00 gamma=90.00
Atoms (fractional coordinates):
Pu 0.000 0.000 0.000
Tl 0.000 0.000 0.500
Se 0.500 0.500 0.208
Se 0.500 0.500 0.792

=====

This record from Alexandria describes crystalline Dy6Y3Er2Tm at its relaxed geometry. The functional is PBE-GGA.

Computed properties:
SG: C2/m (12)
Total magnetic moment, μB per cell: 0.0
Energy relative to the elements, kJ/mol of atoms: 2.0

Unit cell a=6.128 b=6.128 c=11.723 alpha=94.98 beta=94.98 gamma=119.94
Atoms (fractional coordinates):
Dy 0.084 0.417 0.752
Dy 0.249 0.249 0.248
Dy 0.417 0.084 0.752
Dy 0.583 0.916 0.248
Dy 0.751 0.751 0.752
Dy 0.916 0.583 0.248
Y 0.000 0.000 0.500
Y 0.333 0.667 0.500
Y 0.667 0.333 0.500
Er 0.167 0.833 0.000
Er 0.833 0.167 0.000
Tm 0.500 0.500 0.000

=====

This record from Alexandria describes crystalline NaSnPtRh at its relaxed geometry. The functional is PBE-GGA.

Computed properties:
SG: F-43m (216)
Total magnetic moment, μB per cell: 0.0
Energy relative to the elements, kJ/mol of atoms: -27.2

Unit cell a=4.570 b=4.570 c=4.570 alpha=60.00 beta=60.00 gamma=60.00
Atoms (fractional coordinates):
Na 0.000 0.000 0.000
Sn 0.500 0.500 0.500
Pt 0.250 0.250 0.250
Rh 0.750 0.750 0.750

=====

This record from Alexandria describes crystalline SrLiTiF6 at its relaxed geometry. The functional is PBE-GGA.

Computed properties:
SG: P-31c (163)
Uncorrected formation energy, meV/atom: -3448
Total magnetic moment, μB per cell: 2.0

Unit cell a=5.313 b=5.313 c=10.571 alpha=90.00 beta=90.00 gamma=120.00
Atoms (fractional coordinates):
Sr 0.000 0.000 0.000
Sr 0.000 0.000 0.500
Li 0.333 0.667 0.250
Li 0.667 0.333 0.750
Ti 0.333 0.667 0.750
Ti 0.667 0.333 0.250
F 0.012 0.370 0.856
F 0.012 0.642 0.644
F 0.358 0.370 0.644
F 0.358 0.988 0.856
F 0.370 0.012 0.356
F 0.370 0.358 0.144
F 0.630 0.642 0.856
F 0.630 0.988 0.644
F 0.642 0.012 0.144
F 0.642 0.630 0.356
F 0.988 0.358 0.356
F 0.988 0.630 0.144

=====

This record from Alexandria describes crystalline LiHo2Al2 at its relaxed geometry. The functional is PBE-GGA.

Computed properties:
SG: Immm (71)
Total magnetic moment, μB per cell: 0.0
Energy relative to the elements, kJ/mol of atoms: -23.7

Unit cell a=6.097 b=6.097 c=6.097 alpha=145.70 beta=116.43 gamma=74.26
Atoms (fractional coordinates):
Li 0.000 0.000 0.000
Ho 0.274 0.774 0.500
Ho 0.726 0.226 0.500
Al 0.292 0.500 0.792
Al 0.708 0.500 0.208

=====

| no. | total energy (eV/f.u.) |
| --- | --- |
| 1 | -15.11 |
| 2 | -11.89 |
| 3 | -57.04 |
| 4 | -78.87 |
| 5 | -22.20 |
| 6 | -24.64 |
| 7 | -20.50 |
| 8 | -23.81 |
| 9 | -11.13 |
| 10 | -26.86 |
| 11 | -54.94 |
| 12 | -36.02 |
| 13 | -7.37 |
| 14 | -20.13 |
| 15 | -16.30 |
| 16 | -30.79 |
| 17 | -32.83 |
| 18 | -24.74 |
| 19 | -22.62 |
| 20 | -54.25 |
| 21 | -27.60 |
| 22 | -60.35 |
| 23 | -19.84 |
| 24 | -53.75 |
| 25 | -19.78 |